Below is a relaxed Co7PbO12 crystal, with properties calculated at the GGA+U level.

Cell: 6.3747 6.3747 6.3747 Å, 109.47 109.47 109.47°
With the nearest neighbours (Å) after each atom.
Sites, in units of the cell vectors:
Co 0.0000 0.0000 0.5000  6 O 1.99
Co 0.0000 0.5000 0.0000  6 O 1.99
Co 0.0000 0.5000 0.5000  4 O 1.86
Co 0.5000 0.0000 0.0000  6 O 1.99
Co 0.5000 0.0000 0.5000  4 O 1.86
Co 0.5000 0.5000 0.0000  4 O 1.86
Co 0.5000 0.5000 0.5000  6 O 1.99
Pb 0.0000 0.0000 0.0000  12 O 2.68
O 0.1434 0.3190 0.8244  3 Co 1.86-1.99
O 0.1756 0.4947 0.3190  3 Co 1.86-1.99
O 0.1756 0.8566 0.6810  3 Co 1.86-1.99
O 0.3190 0.1756 0.4947  3 Co 1.86-1.99
O 0.3190 0.8244 0.1434  3 Co 1.86-1.99
O 0.4947 0.3190 0.1756  3 Co 1.86-1.99
O 0.5053 0.6810 0.8244  3 Co 1.86-1.99
O 0.6810 0.1756 0.8566  3 Co 1.86-1.99
O 0.6810 0.8244 0.5053  3 Co 1.86-1.99
O 0.8244 0.1434 0.3190  3 Co 1.86-1.99
O 0.8244 0.5053 0.6810  3 Co 1.86-1.99
O 0.8566 0.6810 0.1756  3 Co 1.86-1.99

energy	-5.729	eV per atom
spin magnetization	1.0535	μB per atom